DFT (PBE) results for a relaxed structure of KBa2Si3Au12.

The structure belongs to space group R-3m (No. 166, hexagonal axes); the cell edges are 8.8644, 8.8644 and 22.5209 Å and the angles 90.00°, 90.00° and 120.00°. The inequivalent atoms are K at (0.0000, 0.0000, 0.0000), Ba at (0.0000, 0.0000, 0.4046), Si at (0.0000, 0.5000, 0.5000), Au at (0.0319, 0.5159, 0.8296) and Au at (0.1072, 0.2144, 0.7308).

The volume comes out at 28.4 Å³/atom. The value obtained for the size of the total moment is 0.00 μB/cell. Its formation energy from raw total energies is -241 kJ/mol of formula units. The calculation puts the total energy at -0.129 hartree per atom. As for the crystal system: trigonal.



DFT (PBE) results for a relaxed structure of KBaSi2Au.

The structure belongs to space group P4/mmm (No. 123); the cell edges are 5.5321, 5.5321 and 5.6224 Å and the angles 90.00°, 90.00° and 90.00°. The inequivalent atoms are K at (0.0000, 0.0000, 0.0000), Ba at (0.5000, 0.5000, 0.5000), Si at (0.0000, 0.5000, 0.0000) and Au at (0.0000, 0.0000, 0.5000).

The volume comes out at 34.4 Å³/atom. The value obtained for the size of the total moment is 0.00 μB/cell. Its formation energy from raw total energies is 438 kJ/mol of formula units. The calculation puts the total energy at -0.093 hartree per atom. As for the crystal system: tetragonal.